This record from the Open Quantum Materials Database describes an optimized crystal structure of SmHgB. The functional is GGA-PBE.

Cell and atoms, written as POSCAR:
```
SmHgB
1.0
0.0000 3.3276 3.3276
3.3276 0.0000 3.3276
3.3276 3.3276 0.0000
Sm Hg B
1 1 1
direct
0.0000 0.0000 0.0000
0.2500 0.2500 0.2500
0.7500 0.7500 0.7500
```

Values from the calculation:
Space group = F-43m, No. 216
Energy above the lowest structure with this stoichiometry = 776 meV/atom

This record from the Open Quantum Materials Database describes an optimized crystal structure of TmScNb. The functional is GGA-PBE.

Cell and atoms, written as POSCAR:
```
TmScNb
1.0
0.0000 3.4461 3.4461
3.4461 0.0000 3.4461
3.4461 3.4461 0.0000
Tm Sc Nb
1 1 1
direct
0.0000 0.0000 0.0000
0.5000 0.5000 0.5000
0.7500 0.7500 0.7500
```

Values from the calculation:
Space group = F-43m, No. 216
Energy above the lowest structure with this stoichiometry = 0 meV/atom
Energy of formation from the pure elements = 0.823 eV per atom

This record from the Open Quantum Materials Database describes an optimized crystal structure of ZnHgAs2. The functional is GGA-PBE.

Cell and atoms, written as POSCAR:
```
ZnHgAs2
1.0
0.0000 3.4341 3.4341
3.4341 0.0000 3.4341
3.4341 3.4341 0.0000
Zn Hg As
1 1 2
direct
0.0000 0.0000 0.0000
0.7500 0.7500 0.7500
0.2500 0.2500 0.2500
0.5000 0.5000 0.5000
```

Values from the calculation:
Space group = F-43m, No. 216
DFT total energy = -2.362 eV per atom